1.
DFT (PBE) results for a geometry-optimized MgCd4Pd3 structure.

a b c (Å): 7.695 7.695 7.695
angles (deg): 157.64 116.81 67.93
Element x y z (fractional)
Mg  0.000  0.000  0.000
Cd  0.159  0.860  0.300
Cd  0.440  0.140  0.300
Cd  0.560  0.860  0.700
Cd  0.841  0.140  0.700
Pd  0.175  0.675  0.500
Pd  0.500  0.500  0.000
Pd  0.825  0.325  0.500

Computed properties:
The magnetic moment comes out at 0.00 μB/f.u. The energy of formation comes out at -335.7 meV/atom. Its space group is Immm, No. 71. The calculation puts the raw total energy at -2.940 eV per atom.

2.
DFT (PBE) results for a geometry-optimized Tl2RhCl structure.

a b c (Å): 7.984 7.984 7.984
angles (deg): 132.00 132.00 70.22
Element x y z (fractional)
Tl  0.072  0.625  0.947
Tl  0.375  0.322  0.447
Tl  0.678  0.125  0.053
Tl  0.875  0.928  0.553
Rh  0.000  0.000  0.000
Rh  0.750  0.250  0.500
Cl  0.250  0.750  0.500
Cl  0.500  0.500  0.000

Computed properties:
The magnetic moment comes out at 0.00 μB/f.u. Its space group is I-42d, No. 122. The calculation puts the raw total energy at -3.468 eV per atom.

3.
DFT (PBE) results for a geometry-optimized RbTl3Zn2F8 structure.

a b c (Å): 6.331 6.331 8.682
angles (deg): 90.00 90.00 120.00
Element x y z (fractional)
Rb  0.000  0.000  0.000
Tl  0.000  0.000  0.500
Tl  0.333  0.667  0.193
Tl  0.667  0.333  0.807
Zn  0.333  0.667  0.687
Zn  0.667  0.333  0.313
F  0.169  0.337  0.764
F  0.169  0.831  0.764
F  0.333  0.667  0.465
F  0.337  0.169  0.236
F  0.663  0.831  0.764
F  0.667  0.333  0.535
F  0.831  0.169  0.236
F  0.831  0.663  0.236

Computed properties:
The magnetic moment comes out at 0.00 μB/f.u. Its space group is P-3m1, No. 164. The calculation puts the raw total energy at -3.948 eV per atom.

4.
DFT (PBE) results for a geometry-optimized Sm4AsCl5 structure.

a b c (Å): 9.134 9.134 8.251
angles (deg): 102.86 102.86 25.55
Element x y z (fractional)
Sm  0.000  0.000  0.233
Sm  0.000  0.000  0.767
Sm  0.343  0.343  0.913
Sm  0.657  0.657  0.087
As  0.500  0.500  0.000
Cl  0.166  0.166  0.328
Cl  0.172  0.172  0.846
Cl  0.500  0.500  0.500
Cl  0.828  0.828  0.154
Cl  0.834  0.834  0.672

Computed properties:
The magnetic moment comes out at 0.00 μB/f.u. Its space group is C2/m, No. 12. The calculation puts the raw total energy at -5.101 eV per atom.